Below is a relaxed Mo2H crystal, with properties calculated at the GGA-PBE level.

Cell: 5.1381 5.1381 5.1381 Å, 60.00 60.00 60.00°
With the nearest neighbours (Å) after each atom.
Atoms (fractional coordinates):
Mo  0.6250  0.6250  0.1250  6 Mo 2.57
Mo  0.6250  0.6250  0.6250  6 Mo 2.57
Mo  0.1250  0.6250  0.6250  6 Mo 2.57
Mo  0.6250  0.1250  0.6250  6 Mo 2.57
H  0.0000  0.0000  0.0000  12 Mo 3.01, 4 H 3.15
H  0.2500  0.2500  0.2500  12 Mo 3.01, 4 H 3.15

- energy above the most stable polymorph in this dataset (eV per atom) = 0.925

---

Below is a relaxed Mo2H crystal, with properties calculated at the GGA-PBE level.

Cell: 3.7295 3.7295 3.7295 Å, 60.00 60.00 60.00°
With the nearest neighbours (Å) after each atom.
Atoms (fractional coordinates):
H  0.0000  0.0000  0.0000  8 Mo 2.28
Mo  0.2500  0.2500  0.2500  4 H 2.28
Mo  0.7500  0.7500  0.7500  4 H 2.28

- energy above the most stable polymorph in this dataset (eV per atom) = 0.000